1.
Al2NiW: optimized geometry, PBE-GGA.

Summary:
Energy above the lowest structure with this stoichiometry in meV/atom: 114
Crystal system: monoclinic

Lattice parameters (Å, degrees): 5.6248 7.4067 2.7424 90.00 90.22 90.00
Space group C2/m (No. 12)
Unique sites:
1 Al 0.2500 0.2500 0.0000 x4
2 Ni 0.0000 0.0000 0.5000 x2
3 W 0.0000 0.5000 0.5000 x2

---

2.
Al2NiW: optimized geometry, PBE-GGA.

Summary:
Energy above the lowest structure with this stoichiometry in meV/atom: 182
Crystal system: tetragonal

Lattice parameters (Å, degrees): 2.7090 2.7090 7.8720 90.00 90.00 90.00
Space group P4mm (No. 99)
Unique sites:
1 Al 0.0000 0.0000 0.0000 x1
2 Al 0.5000 0.5000 0.2913 x1
3 Ni 0.0000 0.0000 0.5017 x1
4 W 0.5000 0.5000 0.7402 x1

---

3.
Al2NiW: optimized geometry, PBE-GGA.

Summary:
Energy above the lowest structure with this stoichiometry in meV/atom: 92
Crystal system: monoclinic

Lattice parameters (Å, degrees): 9.7373 2.7474 4.6279 90.00 113.03 90.00
Space group Cm (No. 8)
Unique sites:
1 Al 0.0000 0.0000 0.0000 x2
2 Al 0.2285 0.0000 0.6113 x2
3 Ni 0.4915 0.0000 0.5267 x2
4 W 0.2574 0.5000 0.1271 x2

---

4.
AlZnNi2W: optimized geometry, PBE-GGA.

Summary:
Crystal system: tetragonal

Lattice parameters (Å, degrees): 4.2067 4.2067 4.6764 90.00 90.00 90.00
Space group P4/mmm (No. 123)
Unique sites:
1 Al 0.0000 0.0000 0.0000 x1
2 Zn 0.5000 0.5000 0.5000 x1
3 Ni 0.0000 0.5000 0.0000 x2
4 W 0.0000 0.0000 0.5000 x1

---

5.
Y3Al8Ni3: optimized geometry, PBE-GGA.

Summary:
Crystal system: monoclinic

Lattice parameters (Å, degrees): 15.4930 4.3363 8.8892 90.00 124.79 90.00
Space group C2/m (No. 12)
Unique sites:
1 Y 0.0000 0.0000 0.0000 x2
2 Y 0.2157 0.5000 0.7100 x4
3 Al 0.0084 0.5000 0.6748 x4
4 Al 0.1311 0.0000 0.4267 x4
5 Al 0.1499 0.0000 0.8668 x4
6 Al 0.1498 0.5000 0.2739 x4
7 Ni 0.0000 0.0000 0.5000 x2
8 Ni 0.1516 0.5000 0.0016 x4

---

6.
YAlNi4: optimized geometry, PBE-GGA.

Summary:
Crystal system: orthorhombic

Lattice parameters (Å, degrees): 3.8382 15.0825 5.9289 90.00 90.00 90.00
Space group Cmcm (No. 63)
Unique sites:
1 Y 0.0000 0.1024 0.2500 x4
2 Al 0.0000 0.2316 0.7500 x4
3 Ni 0.0000 0.0772 0.7500 x4
4 Ni 0.0000 0.3330 0.0525 x8
5 Ni 0.0000 0.5000 0.0000 x4

---

7.
Y4AlNi: optimized geometry, PBE-GGA.

Summary:
Energy above the lowest structure with this stoichiometry in meV/atom: 878
Crystal system: cubic

Lattice parameters (Å, degrees): 8.6375 8.6375 8.6375 90.00 90.00 90.00
Space group F-43m (No. 216)
Unique sites:
1 Y 0.1248 0.1248 0.1248 x16
2 Al 0.2500 0.2500 0.7500 x4
3 Ni 0.0000 0.0000 0.5000 x4

---

8.
Y3AlNi8: optimized geometry, PBE-GGA.

Summary:
Energy above the lowest structure with this stoichiometry in meV/atom: 171
Crystal system: hexagonal

Lattice parameters (Å, degrees): 5.0684 5.0684 16.6892 90.00 90.00 120.00
Space group P6_3/mmc (No. 194)
Unique sites:
1 Y 0.3333 0.6667 0.0477 x4
2 Y 0.3333 0.6667 0.7500 x2
3 Al 0.3333 0.6667 0.2500 x2
4 Ni 0.0000 0.0000 0.0000 x2
5 Ni 0.0000 0.0000 0.2500 x2
6 Ni 0.1619 0.3239 0.6198 x12

---

no.,E_form (eV per atom)
1,-0.176
2,-0.107
3,-0.198
4,1.105
5,-0.537
6,-0.345
7,0.633
8,-0.253